(1)
## CdOs2Cl (PBE-GGA)

Data for a relaxed structure of CdOs2Cl.

extended XYZ file:
```
4
Lattice="-2.073 3.643 -1.773 -2.849 -0.489 -3.515 -4.473 0.588 0.597" Properties=species:S:1:pos:R:3 pbc="T T T"
Os 0.000 0.000 0.000
Os -2.349 0.936 -1.173
Cl -7.046 2.807 -3.518
Cd -4.697 1.871 -2.345
```

Properties
formation energy without anion corrections: 1.247 eV/atom
ΔE to the lowest computed polymorph: 97.0 kJ/mol of atoms

---

(2)
## ZnAs2N (PBE-GGA)

Data for a relaxed structure of ZnAs2N.

extended XYZ file:
```
8
Lattice="5.236 0.000 0.000 0.000 5.236 0.000 2.618 2.618 5.282" Properties=species:S:1:pos:R:3 pbc="T T T"
N 2.618 5.236 2.641
N 2.618 2.618 0.000
As 3.927 4.228 3.961
As 3.626 1.309 1.320
As 1.610 3.927 1.320
As 6.545 6.244 3.961
Zn 5.236 2.618 2.641
Zn 0.000 0.000 0.000
```

Properties
formation energy without anion corrections: 0.543 eV/atom
ΔE to the lowest computed polymorph: 0.0 kJ/mol of atoms

---

(3)
## LaPm3Sn3 (PBE-GGA)

Data for a relaxed structure of LaPm3Sn3.

extended XYZ file:
```
14
Lattice="-0.942 8.507 4.143 -7.255 5.668 -2.377 -6.286 2.099 5.173" Properties=species:S:1:pos:R:3 pbc="T T T"
La -9.012 6.829 5.753
La -5.472 9.445 1.185
Sn -8.739 10.209 5.904
Sn -5.745 6.066 1.034
Sn -8.700 10.490 1.277
Sn -10.107 6.272 2.589
Sn -5.784 5.785 5.661
Sn -4.377 10.003 4.349
Pm -6.008 8.899 6.813
Pm -7.365 4.502 3.242
Pm -7.119 11.772 3.696
Pm -10.704 9.273 3.386
Pm -3.780 7.002 3.552
Pm -8.476 7.375 0.126
```

Properties
energy relative to the elements: -0.56 eV/atom

---

(4)
## LiGe2As3 (PBE-GGA)

Data for a relaxed structure of LiGe2As3.

extended XYZ file:
```
12
Lattice="4.012 0.000 0.000 0.000 6.605 0.777 -2.006 -0.511 10.065" Properties=species:S:1:pos:R:3 pbc="T T T"
Ge 2.006 4.941 9.786
Ge 2.006 2.417 4.299
Ge 0.000 3.677 6.542
Ge 0.000 1.152 1.056
As 0.000 3.496 9.022
As 2.006 0.841 8.659
As 2.006 4.700 5.407
As 0.000 5.252 2.182
As 2.006 2.597 1.820
As 0.000 1.393 5.435
Li 0.000 -0.265 7.495
Li 2.006 6.359 3.347
```

Properties
energy relative to the elements: -0.07 eV/atom
ΔE to the lowest computed polymorph: 8.6 kJ/mol of atoms

---

(5)
## Pt2CCl (PBE-GGA)

Data for a relaxed structure of Pt2CCl.

extended XYZ file:
```
4
Lattice="0.000 3.033 3.033 3.033 0.000 3.033 3.033 3.033 0.000" Properties=species:S:1:pos:R:3 pbc="T T T"
Cl 3.033 3.033 3.033
Pt 4.549 4.549 4.549
Pt 1.516 1.516 1.516
C 0.000 0.000 0.000
```

Properties
formation energy without anion corrections: 1.602 eV/atom
ΔE to the lowest computed polymorph: 104.6 kJ/mol of atoms

---

(6)
## Dy4AlZn2Cd (PBE-GGA)

Data for a relaxed structure of Dy4AlZn2Cd.

extended XYZ file:
```
8
Lattice="-2.879 -0.094 4.241 0.723 -3.667 3.509 4.890 3.599 6.499" Properties=species:S:1:pos:R:3 pbc="T T T"
Al 1.367 -0.081 7.125
Dy -0.011 -1.906 9.247
Dy 2.746 1.744 5.002
Dy -0.694 -1.865 5.685
Dy 3.429 1.703 8.564
Zn 0.669 -0.053 3.552
Zn 2.066 -0.109 10.697
Cd 0.000 0.000 0.000
```

Properties
energy relative to the elements: -0.34 eV/atom

---

(7)
## CuHgGe2Se6 (PBE-GGA)

Data for a relaxed structure of CuHgGe2Se6.

extended XYZ file:
```
20
Lattice="6.716 0.223 0.232 2.417 9.115 -0.099 2.417 -0.437 9.105" Properties=species:S:1:pos:R:3 pbc="T T T"
Se 5.856 8.076 3.628
Se 5.130 3.907 2.873
Se 3.061 6.064 5.111
Se 2.985 1.656 0.220
Se 8.488 2.838 4.127
Se 5.207 8.631 7.459
Se 8.565 7.245 9.018
Se 2.335 5.464 0.917
Se 6.343 0.270 1.779
Se 5.693 0.825 5.610
Se 9.214 3.438 8.321
Se 6.419 4.994 6.365
Ge 5.213 6.977 5.725
Ge 6.336 1.924 3.513
Ge 8.571 5.574 7.300
Ge 2.978 3.328 1.937
Cu 7.454 7.291 1.994
Cu 4.096 1.611 7.244
Hg 7.454 1.769 7.315
Hg 4.096 7.133 1.923
```

Properties
formation energy without anion corrections: -0.130 eV/atom

---

(8)
## GdHo2Rh (PBE-GGA)

Data for a relaxed structure of GdHo2Rh.

extended XYZ file:
```
4
Lattice="-1.915 0.564 -2.854 0.687 -3.233 -1.100 -7.020 -2.899 4.137" Properties=species:S:1:pos:R:3 pbc="T T T"
Ho -1.318 -0.544 0.777
Ho -5.701 -2.355 3.360
Gd -4.124 -2.784 0.092
Rh -0.614 -1.334 -1.977
```

Properties
energy relative to the elements: -0.42 eV/atom
ΔE to the lowest computed polymorph: 0.0 kJ/mol of atoms

---

(9)
## MnAlAu3 (PBE-GGA)

Data for a relaxed structure of MnAlAu3.

extended XYZ file:
```
5
Lattice="-0.679 -4.111 2.702 -1.193 -2.508 -4.116 4.772 -1.212 -0.645" Properties=species:S:1:pos:R:3 pbc="T T T"
Au -0.597 -1.254 -2.058
Au 2.386 -0.606 -0.322
Au -0.340 -2.055 1.351
Mn 0.000 0.000 0.000
Al 1.450 -3.916 -1.030
```

Properties
energy relative to the elements: 0.65 eV/atom
ΔE to the lowest computed polymorph: 84.5 kJ/mol of atoms

---

(10)
## CrRe2Se (PBE-GGA)

Data for a relaxed structure of CrRe2Se.

extended XYZ file:
```
4
Lattice="-2.474 0.305 -3.271 -1.220 -2.457 0.694 -4.162 1.069 3.248" Properties=species:S:1:pos:R:3 pbc="T T T"
Re -2.522 -0.294 1.881
Re -4.331 0.669 3.339
Se -2.583 -0.195 -0.650
Cr -5.274 -0.889 1.321
```

Properties
formation energy without anion corrections: 0.542 eV/atom
ΔE to the lowest computed polymorph: 32.1 kJ/mol of atoms

---

(11)
## HAuI2F (PBE-GGA)

Data for a relaxed structure of HAuI2F.

extended XYZ file:
```
5
Lattice="-0.418 4.145 -3.533 -0.240 -2.916 -3.392 -5.439 -0.127 0.494" Properties=species:S:1:pos:R:3 pbc="T T T"
H -3.048 0.551 -3.216
Au -0.120 -1.458 -1.696
I -2.719 -0.064 0.247
I -0.209 2.072 -1.767
F 0.000 0.000 0.000
```

Properties
DFT total energy: -8.42 eV for the cell shown

---

(12)
## Ca3TmU3As8 (PBE-GGA)

Data for a relaxed structure of Ca3TmU3As8.

extended XYZ file:
```
15
Lattice="-0.347 4.132 7.114 -6.552 -0.169 -4.987 2.227 -6.885 4.107" Properties=species:S:1:pos:R:3 pbc="T T T"
As -2.846 -0.875 0.370
As -1.826 -2.047 5.865
As -5.048 -2.141 3.303
As -4.881 -4.140 -0.139
As -1.713 -4.057 2.273
As 0.377 -0.781 2.932
As -2.958 1.135 3.962
As 0.209 1.218 6.374
U 0.940 -1.376 5.611
U -2.336 -1.461 3.117
U -2.162 -3.527 -0.440
Tm 1.114 -3.442 2.054
Ca 0.000 0.000 0.000
Ca -3.449 1.981 1.064
Ca -3.276 -0.085 -2.493
```

Properties
energy relative to the elements: -0.87 eV/atom